Record 1
An optimized crystal structure of Sr2AlCu2. Source: Alexandria, functional GGA-PBEsol.

Results
The total DFT energy (no corrections) comes out at -3.19 eV/atom. As for the volume: 23.70 Å³/atom. The total magnetization comes out at 0.00 μB per formula unit. Its formation energy is 0.098 eV/atom.

a = 3.4940 Å, b = 3.4940 Å, c = 19.4145 Å
α = 90.00°, β = 90.00°, γ = 90.00°
Closest atoms and distances in Å follow each position.
Fractional positions:
Sr  0.0000  0.0000  0.1170  4 Cu 3.12, 4 Al 3.36
Sr  0.0000  0.0000  0.8830  4 Cu 3.12, 4 Al 3.36
Sr  0.5000  0.5000  0.3830  4 Cu 3.12, 4 Al 3.36
Sr  0.5000  0.5000  0.6170  4 Cu 3.12, 4 Al 3.36
Al  0.0000  0.0000  0.5000  8 Sr 3.36, 4 Al 3.49
Al  0.5000  0.5000  0.0000  8 Sr 3.36, 4 Al 3.49
Cu  0.0000  0.5000  0.2500  4 Cu 2.47
Cu  0.0000  0.5000  0.7500  4 Cu 2.47
Cu  0.5000  0.0000  0.2500  4 Cu 2.47
Cu  0.5000  0.0000  0.7500  4 Cu 2.47

***

Record 2
An optimized crystal structure of HAu2S. Source: Alexandria, functional GGA-PBEsol.

Results
The total DFT energy (no corrections) comes out at -3.61 eV/atom. As for the volume: 15.36 Å³/atom. The total magnetization comes out at 0.00 μB per formula unit.

a = 4.7943 Å, b = 4.7943 Å, c = 10.6899 Å
α = 90.00°, β = 90.00°, γ = 90.00°
Closest atoms and distances in Å follow each position.
Fractional positions:
H  0.0000  0.0000  0.0000  4 Au 1.95
H  0.0000  0.5000  0.2500  4 Au 1.95
H  0.5000  0.0000  0.7500  4 Au 1.95
H  0.5000  0.5000  0.5000  4 Au 1.95
Au  0.1584  0.2500  0.1250  2 H 1.95
Au  0.2500  0.6584  0.3750  2 H 1.95
Au  0.2500  0.8416  0.8750  2 H 1.95
Au  0.3416  0.2500  0.6250  2 H 1.95
Au  0.6584  0.7500  0.6250  2 H 1.95
Au  0.7500  0.1584  0.8750  2 H 1.95
Au  0.7500  0.3416  0.3750  2 H 1.95
Au  0.8416  0.7500  0.1250  2 H 1.95
S  0.0000  0.0000  0.5000  4 Au 2.43
S  0.0000  0.5000  0.7500  4 Au 2.43
S  0.5000  0.0000  0.2500  4 Au 2.43
S  0.5000  0.5000  0.0000  4 Au 2.43

***

Record 3
An optimized crystal structure of BeP2Pt. Source: Alexandria, functional GGA-PBEsol.

Results
The total DFT energy (no corrections) comes out at -5.68 eV/atom. As for the volume: 12.99 Å³/atom. The total magnetization comes out at 0.00 μB per formula unit. Its formation energy is -0.043 eV/atom.

a = 4.7720 Å, b = 4.8423 Å, c = 8.9927 Å
α = 90.00°, β = 90.00°, γ = 90.00°
Closest atoms and distances in Å follow each position.
Fractional positions:
Be  0.0000  0.0000  0.0000  4 Pt 2.39-2.42, 4 P 2.55
Be  0.0000  0.5000  0.5000  4 Pt 2.39-2.42, 4 P 2.55
Be  0.5000  0.0000  0.5000  4 Pt 2.39-2.42, 4 P 2.55
Be  0.5000  0.5000  0.0000  4 Pt 2.39-2.42, 4 P 2.55
P  0.2500  0.0000  0.2500  4 P 2.39-2.42, 2 Be 2.55, 2 Pt 2.55
P  0.2500  0.0000  0.7500  4 P 2.39-2.42, 2 Be 2.55, 2 Pt 2.55
P  0.2500  0.5000  0.2500  4 P 2.39-2.42, 2 Be 2.55, 2 Pt 2.55
P  0.2500  0.5000  0.7500  4 P 2.39-2.42, 2 Be 2.55, 2 Pt 2.55
P  0.7500  0.0000  0.2500  4 P 2.39-2.42, 2 Be 2.55, 2 Pt 2.55
P  0.7500  0.0000  0.7500  4 P 2.39-2.42, 2 Be 2.55, 2 Pt 2.55
P  0.7500  0.5000  0.2500  4 P 2.39-2.42, 2 Be 2.55, 2 Pt 2.55
P  0.7500  0.5000  0.7500  4 P 2.39-2.42, 2 Be 2.55, 2 Pt 2.55
Pt  0.0000  0.0000  0.5000  4 Be 2.39-2.42, 4 P 2.55
Pt  0.0000  0.5000  0.0000  4 Be 2.39-2.42, 4 P 2.55
Pt  0.5000  0.0000  0.0000  4 Be 2.39-2.42, 4 P 2.55
Pt  0.5000  0.5000  0.5000  4 Be 2.39-2.42, 4 P 2.55

***

Record 4
An optimized crystal structure of ZnOs. Source: Alexandria, functional GGA-PBEsol.

Results
The total DFT energy (no corrections) comes out at -6.60 eV/atom. As for the volume: 13.64 Å³/atom. The total magnetization comes out at 0.00 μB per formula unit. Its formation energy is 0.296 eV/atom.

a = 3.9583 Å, b = 3.9583 Å, c = 6.9649 Å
α = 90.00°, β = 90.00°, γ = 90.00°
Closest atoms and distances in Å follow each position.
Fractional positions:
Zn  0.0000  0.2500  0.3750  8 Os 2.64-2.80, 4 Zn 2.64
Zn  0.0000  0.7500  0.6250  8 Os 2.64-2.80, 4 Zn 2.64
Zn  0.5000  0.2500  0.1250  8 Os 2.64-2.80, 4 Zn 2.64
Zn  0.5000  0.7500  0.8750  8 Os 2.64-2.80, 4 Zn 2.64
Os  0.0000  0.2500  0.8750  4 Os 2.64, 8 Zn 2.64-2.80
Os  0.0000  0.7500  0.1250  4 Os 2.64, 8 Zn 2.64-2.80
Os  0.5000  0.2500  0.6250  4 Os 2.64, 8 Zn 2.64-2.80
Os  0.5000  0.7500  0.3750  4 Os 2.64, 8 Zn 2.64-2.80

***

Record 5
An optimized crystal structure of In2Sn2Hg. Source: Alexandria, functional GGA-PBEsol.

Results
The total DFT energy (no corrections) comes out at -2.95 eV/atom. As for the volume: 26.68 Å³/atom. The total magnetization comes out at 0.00 μB per formula unit. As for the energy relative to the lowest polymorph listed for this composition: 0 kJ/mol of formula units. Its formation energy is 0.061 eV/atom.

a = 7.7888 Å, b = 7.7888 Å, c = 4.3981 Å
α = 90.00°, β = 90.00°, γ = 90.00°
Closest atoms and distances in Å follow each position.
Fractional positions:
In  0.1632  0.3368  0.0000  6 Sn 3.08-3.23
In  0.3368  0.8368  0.0000  6 Sn 3.08-3.23
In  0.6632  0.1632  0.0000  6 Sn 3.08-3.23
In  0.8368  0.6632  0.0000  6 Sn 3.08-3.23
Sn  0.1404  0.6404  0.5000  2 Hg 3.01, 6 In 3.08-3.23, 1 Sn 3.09
Sn  0.3596  0.1404  0.5000  2 Hg 3.01, 6 In 3.08-3.23, 1 Sn 3.09
Sn  0.6404  0.8596  0.5000  2 Hg 3.01, 6 In 3.08-3.23, 1 Sn 3.09
Sn  0.8596  0.3596  0.5000  2 Hg 3.01, 6 In 3.08-3.23, 1 Sn 3.09
Hg  0.0000  0.0000  0.5000  4 Sn 3.01
Hg  0.5000  0.5000  0.5000  4 Sn 3.01

***

Record 6
An optimized crystal structure of YGa2Ni2. Source: Alexandria, functional GGA-PBEsol.

Results
The total DFT energy (no corrections) comes out at -5.74 eV/atom. As for the volume: 15.71 Å³/atom. The total magnetization comes out at 0.00 μB per formula unit. Its formation energy is -0.578 eV/atom.

a = 3.9879 Å, b = 3.9879 Å, c = 9.8794 Å
α = 90.00°, β = 90.00°, γ = 90.00°
Closest atoms and distances in Å follow each position.
Fractional positions:
Y  0.0000  0.0000  0.0000  8 Ni 3.04, 8 Ga 3.17
Y  0.5000  0.5000  0.5000  8 Ni 3.04, 8 Ga 3.17
Ga  0.0000  0.5000  0.2500  4 Ni 2.39
Ga  0.0000  0.5000  0.7500  4 Ni 2.39
Ga  0.5000  0.0000  0.2500  4 Ni 2.39
Ga  0.5000  0.0000  0.7500  4 Ni 2.39
Ni  0.0000  0.0000  0.3842  1 Ni 2.29, 4 Ga 2.39
Ni  0.0000  0.0000  0.6158  1 Ni 2.29, 4 Ga 2.39
Ni  0.5000  0.5000  0.1158  1 Ni 2.29, 4 Ga 2.39
Ni  0.5000  0.5000  0.8842  1 Ni 2.29, 4 Ga 2.39

***

Record 7
An optimized crystal structure of CoSnTe3. Source: Alexandria, functional GGA-PBEsol.

Results
The total DFT energy (no corrections) comes out at -4.30 eV/atom. The uncorrected formation energy is 0.22 eV per atom. As for the volume: 25.07 Å³/atom. The total magnetization comes out at 0.92 μB per formula unit.

a = 5.0043 Å, b = 5.0043 Å, c = 5.0043 Å
α = 90.00°, β = 90.00°, γ = 90.00°
Closest atoms and distances in Å follow each position.
Fractional positions:
Co  0.0000  0.0000  0.0000  6 Te 2.50
Sn  0.5000  0.5000  0.5000  12 Te 3.54
Te  0.0000  0.0000  0.5000  2 Co 2.50
Te  0.0000  0.5000  0.0000  2 Co 2.50
Te  0.5000  0.0000  0.0000  2 Co 2.50

***

Record 8
An optimized crystal structure of Mn3Cr3Sn2O16. Source: Alexandria, functional GGA-PBEsol.

Results
The total DFT energy (no corrections) comes out at -8.00 eV/atom. The uncorrected formation energy is -1.64 eV per atom. As for the volume: 11.05 Å³/atom. The total magnetization comes out at 15.00 μB per formula unit.

a = 5.7195 Å, b = 5.7195 Å, c = 9.3940 Å
α = 90.07°, β = 90.07°, γ = 59.69°
Closest atoms and distances in Å follow each position.
Fractional positions:
Mn  0.0000  0.0000  0.0000  6 O 1.88-1.92
Mn  0.1643  0.6599  0.4993  6 O 1.88-1.92
Mn  0.6599  0.1643  0.4993  6 O 1.88-1.92
Cr  0.4994  0.9960  0.9961  6 O 1.88-1.95
Cr  0.6617  0.6617  0.4945  6 O 1.86-1.95
Cr  0.9960  0.4994  0.9961  6 O 1.88-1.95
Sn  0.1579  0.1579  0.2755  6 O 2.03-2.13
Sn  0.4940  0.4940  0.7740  6 O 2.04-2.12
O  0.1492  0.6692  0.8926  1 Cr 1.88, 1 Mn 1.92, 1 Sn 2.04
O  0.1615  0.1615  0.8937  1 Mn 1.89, 2 Cr 1.93
O  0.3063  0.3063  0.1122  2 Cr 1.89
O  0.3123  0.8617  0.1136  1 Mn 1.88, 1 Cr 1.95
O  0.3442  0.3442  0.6137  2 Mn 1.90, 1 Sn 2.11
O  0.3440  0.7919  0.6121  1 Mn 1.88, 1 Cr 1.93
O  0.4902  0.4902  0.3929  2 Mn 1.90, 1 Cr 1.95
O  0.5052  0.9860  0.3945  1 Cr 1.86, 1 Mn 1.92, 1 Sn 2.05
O  0.6657  0.6657  0.8960  2 Cr 1.88, 1 Sn 2.05
O  0.6692  0.1492  0.8926  1 Cr 1.88, 1 Mn 1.92, 1 Sn 2.04
O  0.7919  0.3440  0.6121  1 Mn 1.88, 1 Cr 1.93
O  0.8302  0.8302  0.5979  2 Mn 1.89, 1 Cr 1.93
O  0.8329  0.8329  0.0983  1 Mn 1.90, 2 Cr 1.91
O  0.8617  0.3123  0.1136  1 Mn 1.88, 1 Cr 1.95
O  0.9848  0.9848  0.3905  2 Mn 1.90, 1 Sn 2.03
O  0.9860  0.5052  0.3945  1 Cr 1.86, 1 Mn 1.92, 1 Sn 2.05

***

Record 9
An optimized crystal structure of ZrMnNi. Source: Alexandria, functional GGA-PBEsol.

Results
The total DFT energy (no corrections) comes out at -7.89 eV/atom. As for the volume: 16.24 Å³/atom. The total magnetization comes out at 2.80 μB per formula unit. Its formation energy is 0.447 eV/atom.

a = 5.7977 Å, b = 5.7977 Å, c = 5.7977 Å
α = 90.00°, β = 90.00°, γ = 90.00°
Closest atoms and distances in Å follow each position.
Fractional positions:
Zr  0.0000  0.0000  0.0000  4 Mn 2.51
Zr  0.0000  0.5000  0.5000  4 Mn 2.51
Zr  0.5000  0.0000  0.5000  4 Mn 2.51
Zr  0.5000  0.5000  0.0000  4 Mn 2.51
Mn  0.2500  0.2500  0.7500  4 Zr 2.51, 4 Ni 2.51
Mn  0.2500  0.7500  0.2500  4 Zr 2.51, 4 Ni 2.51
Mn  0.7500  0.2500  0.2500  4 Zr 2.51, 4 Ni 2.51
Mn  0.7500  0.7500  0.7500  4 Zr 2.51, 4 Ni 2.51
Ni  0.0000  0.0000  0.5000  4 Mn 2.51
Ni  0.0000  0.5000  0.0000  4 Mn 2.51
Ni  0.5000  0.0000  0.0000  4 Mn 2.51
Ni  0.5000  0.5000  0.5000  4 Mn 2.51

***

Record 10
An optimized crystal structure of K2CuRu. Source: Alexandria, functional GGA-PBEsol.

Results
The total DFT energy (no corrections) comes out at -2.94 eV/atom. As for the volume: 20.47 Å³/atom. The total magnetization comes out at 0.67 μB per formula unit. As for the energy relative to the lowest polymorph listed for this composition: 186 kJ/mol of formula units. Its formation energy is 1.256 eV/atom.

a = 3.9541 Å, b = 3.9541 Å, c = 10.4765 Å
α = 90.00°, β = 90.00°, γ = 90.00°
Closest atoms and distances in Å follow each position.
Fractional positions:
K  0.0000  0.5000  0.2500  4 K 2.80
K  0.0000  0.5000  0.7500  4 K 2.80
K  0.5000  0.0000  0.2500  4 K 2.80
K  0.5000  0.0000  0.7500  4 K 2.80
Cu  0.0000  0.0000  0.0000  4 Ru 2.80
Cu  0.5000  0.5000  0.5000  4 Ru 2.80
Ru  0.0000  0.0000  0.5000  4 Cu 2.80
Ru  0.5000  0.5000  0.0000  4 Cu 2.80

***

Record 11
An optimized crystal structure of BeTcIr. Source: Alexandria, functional GGA-PBEsol.

Results
The total DFT energy (no corrections) comes out at -8.69 eV/atom. As for the volume: 11.85 Å³/atom. The total magnetization comes out at 0.00 μB per formula unit. Its formation energy is -0.330 eV/atom.

a = 2.7461 Å, b = 2.7461 Å, c = 9.4313 Å
α = 90.00°, β = 90.00°, γ = 90.00°
Closest atoms and distances in Å follow each position.
Fractional positions:
Be  0.0000  0.0000  0.0000  4 Ir 2.38, 4 Tc 2.47
Be  0.5000  0.5000  0.5000  4 Ir 2.38, 4 Tc 2.47
Tc  0.0000  0.0000  0.3375  4 Be 2.47, 4 Ir 2.65, 4 Tc 2.75
Tc  0.5000  0.5000  0.8375  4 Be 2.47, 4 Ir 2.65, 4 Tc 2.75
Ir  0.0000  0.0000  0.6458  4 Be 2.38, 4 Tc 2.65
Ir  0.5000  0.5000  0.1458  4 Be 2.38, 4 Tc 2.65

***

Record 12
An optimized crystal structure of Be2FeW2. Source: Alexandria, functional GGA-PBEsol.

Results
The total DFT energy (no corrections) comes out at -8.99 eV/atom. As for the volume: 11.19 Å³/atom. The total magnetization comes out at 1.73 μB per formula unit. Its formation energy is -0.075 eV/atom.

a = 5.8316 Å, b = 5.8316 Å, c = 3.2907 Å
α = 90.00°, β = 90.00°, γ = 90.00°
Closest atoms and distances in Å follow each position.
Fractional positions:
Be  0.1236  0.3764  0.0000  1 Be 2.04
Be  0.3764  0.8764  0.0000  1 Be 2.04
Be  0.6236  0.1236  0.0000  1 Be 2.04
Be  0.8764  0.6236  0.0000  1 Be 2.04
Fe  0.0000  0.0000  0.0000  4 Be 2.31
Fe  0.5000  0.5000  0.0000  4 Be 2.31
W  0.1750  0.6750  0.5000  6 Be 2.34-2.41
W  0.3250  0.1750  0.5000  6 Be 2.34-2.41
W  0.6750  0.8250  0.5000  6 Be 2.34-2.41
W  0.8250  0.3250  0.5000  6 Be 2.34-2.41

***

Record 13
An optimized crystal structure of SrCa2P. Source: Alexandria, functional GGA-PBEsol.

Results
The total DFT energy (no corrections) comes out at -3.56 eV/atom. As for the volume: 38.23 Å³/atom. The total magnetization comes out at 0.00 μB per formula unit. Its formation energy is -0.586 eV/atom.

a = 6.0614 Å, b = 12.2916 Å, c = 4.1046 Å
α = 90.00°, β = 90.00°, γ = 90.00°
Closest atoms and distances in Å follow each position.
Fractional positions:
Sr  0.0000  0.0000  0.0000  2 P 3.03
Sr  0.5000  0.5000  0.0000  2 P 3.03
Ca  0.0000  0.3464  0.5000  2 P 2.79
Ca  0.0000  0.6536  0.5000  2 P 2.79
Ca  0.5000  0.1536  0.5000  2 P 2.79
Ca  0.5000  0.8464  0.5000  2 P 2.79
P  0.0000  0.5000  0.0000  4 Ca 2.79, 2 Sr 3.03
P  0.5000  0.0000  0.0000  4 Ca 2.79, 2 Sr 3.03